## SBrO3 (meta-GGA SCAN)

Data for a crystal of SBrO3 relaxed with PBEsol. Values from VASP.

Calculated values
calculated density = 4.9 Mg/m³
space group = Pm-3m (221)
DOS at the Fermi energy = 0.837 states/eV/atom
total DFT energy (no corrections) = -8.8437 eV/atom

Cell and atoms, written as Quantum ESPRESSO input:
```
&SYSTEM
  ibrav = 0, nat = 5, ntyp = 3
/
ATOMIC_SPECIES
O 16.00 O.upf
Br 79.90 Br.upf
S 32.06 S.upf
ATOMIC_POSITIONS crystal
O 0.0000 0.5000 0.0000
Br 0.5000 0.5000 0.5000
O 0.5000 0.0000 0.0000
S 0.0000 0.0000 0.0000
O 0.0000 0.0000 0.5000
CELL_PARAMETERS angstrom
-0.8955 1.3168 3.4346
-3.4288 -1.5788 -0.2887
1.3319 -3.1790 1.5661
```